(1)
Li2CaMo | PBE | optimized geometry

Structure (POSCAR):
```
Li2CaMo
1.0
2.863 0.000 0.000
0.000 2.863 0.000
0.000 0.000 9.544
Li Ca Mo
2 1 1
Cartesian
0.000 0.000 2.039 Li
0.000 0.000 7.506 Li
1.432 1.432 4.772 Ca
1.432 1.432 0.000 Mo
```

- SG: No. 123
- Energy relative to the elements: 60.4 kJ per mole of atoms
- Magnetization: 0.439 μB per cell

(2)
Li2CaMo | PBE | optimized geometry

Structure (POSCAR):
```
Li2CaMo
1.0
-2.312 2.312 4.183
2.312 -2.312 4.183
2.312 2.312 -4.183
Li Ca Mo
2 1 1
Cartesian
0.000 0.000 0.000 Li
0.000 2.312 2.092 Li
0.000 0.000 4.183 Ca
2.312 0.000 2.092 Mo
```

- SG: No. 119
- Energy relative to the elements: 74.3 kJ per mole of atoms
- Magnetization: 3.375 μB per cell

(3)
Li2CaMo | PBE | optimized geometry

Structure (POSCAR):
```
Li2CaMo
1.0
2.688 0.000 0.000
0.000 5.060 0.000
-0.216 0.000 5.756
Li Ca Mo
2 1 1
Cartesian
0.369 0.000 1.150 Li
2.102 0.000 4.606 Li
-0.108 2.530 2.878 Ca
1.344 2.530 0.000 Mo
```

- SG: No. 10
- Energy relative to the elements: 55.7 kJ per mole of atoms
- Magnetization: 0.001 μB per cell

(4)
LiCaMo2 | PBE | optimized geometry

Structure (POSCAR):
```
LiCaMo2
1.0
3.299 0.000 0.000
0.000 3.299 0.000
0.000 0.000 7.447
Li Ca Mo
1 1 2
Cartesian
0.000 0.000 0.000 Li
1.649 1.649 5.037 Ca
0.000 0.000 2.832 Mo
1.649 1.649 1.670 Mo
```

- SG: No. 99
- Energy relative to the elements: 37.6 kJ per mole of atoms
- Magnetization: 0.000 μB per cell

Q: What is the magnetization in the fourth record?
A: 0.000 μB per cell